Compound: YInSb2
Source: the Alexandria database
Functional: GGA-PBEsol
Structure: optimized geometry

## Properties
Raw formation energy   -0.482 eV/atom
E   -5.212 eV/atom
Calculated density   7.3 g/cm3

```
YInSb2
1.0
-2.353 2.353 4.598
2.353 -2.353 4.598
2.353 2.353 -4.598
Y In Sb
1 1 2
direct
0.000 0.000 0.000 Y
0.500 0.500 0.000 In
0.250 0.750 0.500 Sb
0.750 0.250 0.500 Sb
```